# 1
# Ce2Si3AgPt12

An optimized crystal structure of Ce2Si3AgPt12 (PBE, Alexandria via LeMat-Bulk).

It has space group R-3m (No. 166, hexagonal axes), with a = 8.3376 Å, b = 8.3376 Å, c = 17.3704 Å, α = 90.00°, β = 90.00° and γ = 120.00°. The inequivalent atoms are Ce at (0.0000, 0.0000, 0.1106), Si at (0.0000, 0.5000, 0.0000), Ag at (0.0000, 0.0000, 0.5000), Pt at (0.0221, 0.5110, 0.8654) and Pt at (0.0267, 0.5134, 0.3697).

The crystal system is trigonal. The total energy is -334.77 eV/cell. The volume is 1045.7 Å³ per cell. The size of the total moment is 0.0 μB per formula unit.

---

# 2
# Ce2Si3AgPt4

An optimized crystal structure of Ce2Si3AgPt4 (PBE, Alexandria via LeMat-Bulk).

It has space group P-4m2 (No. 115), with a = 4.242 Å, b = 4.242 Å, c = 10.370 Å, α = 90.00°, β = 90.00° and γ = 90.00°. The inequivalent atoms are Ce at (0.000, 0.500, 0.248), Si at (0.000, 0.000, 0.000), Si at (0.000, 0.500, 0.622), Ag at (0.500, 0.500, 0.000), Pt at (0.000, 0.000, 0.500), Pt at (0.000, 0.500, 0.848) and Pt at (0.500, 0.500, 0.500).

The crystal system is tetragonal. The total energy is -64.14 eV/cell. The volume is 186.6 Å³ per cell. The size of the total moment is 1.3 μB per formula unit.

---

# 3
# CeAgSnPt

An optimized crystal structure of CeAgSnPt (PBE, Alexandria via LeMat-Bulk).

It has space group F-43m (No. 216), with a = 7.006 Å, b = 7.006 Å, c = 7.006 Å, α = 90.00°, β = 90.00° and γ = 90.00°. The inequivalent atoms are Ce at (0.000, 0.000, 0.000), Ag at (0.250, 0.250, 0.250), Sn at (0.000, 0.000, 0.500) and Pt at (0.250, 0.250, 0.750).

The crystal system is cubic. The value obtained for the formation energy is -598 meV/atom. The volume is 343.9 Å³ per cell. The size of the total moment is 0.5 μB per formula unit.

---

Which value of size of the total moment does entry 2 give?
1.3 μB per formula unit